Mn4NiP: relaxed, PBE.

POSCAR file:
```
Mn4NiP
1.0
2.934 -2.622 -2.420
0.828 -4.352 1.310
-1.596 -3.518 -2.533
Mn Ni P
4 1 1
Cartesian
0.012 -5.694 -2.635
1.227 -6.112 -0.709
0.812 -3.931 -1.365
2.282 -5.245 -2.578
1.625 -7.869 -2.733
0.000 0.000 0.000
```

Summary:
The value obtained for the total magnetization is 0.70 μB per atom. The value obtained for the energy relative to the elements is 0.401 eV per atom.